1 | Material: BeIrBr2
Method: DFT, PBE-GGA
State: optimized geometry

Calculated values
As for the space-group type: Imm2, No. 44. The size of the total moment comes out at 0.0 μB per cell. The calculated volume comes out at 22.7 Å³ per atom.

Unit cell a=7.620 b=7.620 c=7.620 alpha=156.35 beta=149.18 gamma=39.22
Positions (direct):
Be (0.000, 0.000, 0.000)
Ir (0.120, 0.620, 0.500)
Br (0.416, 0.416, 0.000)
Br (0.655, 0.155, 0.500)



2 | Material: BeIrBr2
Method: DFT, PBE-GGA
State: optimized geometry

Calculated values
As for the space-group type: Cmmm, No. 65. The size of the total moment comes out at 0.0 μB per cell. The calculated volume comes out at 18.5 Å³ per atom.

Unit cell a=3.401 b=3.401 c=7.778 alpha=90.00 beta=90.00 gamma=124.85
Positions (direct):
Be (0.000, 0.000, 0.000)
Ir (0.000, 0.000, 0.500)
Br (0.500, 0.500, 0.209)
Br (0.500, 0.500, 0.791)



3 | Material: BeIrBr2
Method: DFT, PBE-GGA
State: optimized geometry

Calculated values
As for the space-group type: P2/m, No. 10. The size of the total moment comes out at 0.0 μB per cell. The calculated volume comes out at 19.3 Å³ per atom.

Unit cell a=3.544 b=4.111 c=5.317 alpha=90.00 beta=94.19 gamma=90.00
Positions (direct):
Be (0.000, 0.000, 0.000)
Ir (0.500, 0.000, 0.500)
Br (0.257, 0.500, 0.250)
Br (0.743, 0.500, 0.750)



4 | Material: BeIrBr2
Method: DFT, PBE-GGA
State: optimized geometry

Calculated values
As for the space-group type: R-3m, No. 166. The size of the total moment comes out at 1.8 μB per cell. The calculated volume comes out at 24.9 Å³ per atom.

Unit cell a=11.591 b=11.591 c=11.591 alpha=15.73 beta=15.73 gamma=15.73
Positions (direct):
Be (0.000, 0.000, 0.000)
Ir (0.500, 0.500, 0.500)
Br (0.292, 0.292, 0.292)
Br (0.708, 0.708, 0.708)



Result of the stability comparison: 1 is the most stable of them.



1 | Material: BeIrBr2
Method: DFT, PBE-GGA
State: optimized geometry

Calculated values
As for the space-group type: Cmm2, No. 35. The size of the total moment comes out at 0.0 μB per cell. The calculated volume comes out at 22.2 Å³ per atom.

Unit cell a=3.418 b=3.418 c=9.469 alpha=90.00 beta=90.00 gamma=126.76
Positions (direct):
Be (0.000, 0.000, 0.000)
Ir (0.500, 0.500, 0.200)
Br (0.000, 0.000, 0.410)
Br (0.500, 0.500, 0.837)



2 | Material: BeIrBr2
Method: DFT, PBE-GGA
State: optimized geometry

Calculated values
As for the space-group type: C2/m, No. 12. The size of the total moment comes out at 0.8 μB per cell. The calculated volume comes out at 22.4 Å³ per atom.

Unit cell a=7.767 b=7.767 c=3.622 alpha=99.92 beta=99.92 gamma=24.63
Positions (direct):
Be (0.000, 0.000, 0.000)
Ir (0.500, 0.500, 0.500)
Br (0.369, 0.369, 0.834)
Br (0.631, 0.631, 0.166)



3 | Material: BeIrBr2
Method: DFT, PBE-GGA
State: optimized geometry

Calculated values
As for the space-group type: Pmm2, No. 25. The size of the total moment comes out at 0.0 μB per cell. The calculated volume comes out at 21.7 Å³ per atom.

Unit cell a=3.070 b=3.557 c=7.960 alpha=90.00 beta=90.00 gamma=90.00
Positions (direct):
Be (0.000, 0.000, 0.000)
Ir (0.500, 0.500, 0.045)
Br (0.000, 0.000, 0.292)
Br (0.500, 0.500, 0.742)



4 | Material: BeIrBr2
Method: DFT, PBE-GGA
State: optimized geometry

Calculated values
As for the space-group type: Pm, No. 6. The size of the total moment comes out at 0.0 μB per cell. The calculated volume comes out at 26.8 Å³ per atom.

Unit cell a=3.958 b=3.860 c=7.282 alpha=90.00 beta=105.63 gamma=90.00
Positions (direct):
Be (0.000, 0.000, 0.000)
Ir (0.918, 0.500, 0.837)
Br (0.328, 0.500, 0.656)
Br (0.588, 0.000, 0.178)



Result of the stability comparison: 4 is the most stable of them.



1 | Material: Be2IrBr
Method: DFT, PBE-GGA
State: optimized geometry

Calculated values
As for the space-group type: I-42d, No. 122. The size of the total moment comes out at 0.0 μB per cell. The calculated volume comes out at 18.1 Å³ per atom.

Unit cell a=6.332 b=6.332 c=6.332 alpha=130.26 beta=130.26 gamma=73.00
Positions (direct):
Be (0.088, 0.625, 0.963)
Be (0.375, 0.338, 0.463)
Be (0.662, 0.125, 0.037)
Be (0.875, 0.912, 0.537)
Ir (0.000, 0.000, 0.000)
Ir (0.750, 0.250, 0.500)
Br (0.250, 0.750, 0.500)
Br (0.500, 0.500, 0.000)



2 | Material: Be2IrBr
Method: DFT, PBE-GGA
State: optimized geometry

Calculated values
As for the space-group type: I4/mmm, No. 139. The size of the total moment comes out at 0.0 μB per cell. The calculated volume comes out at 13.2 Å³ per atom.

Unit cell a=4.546 b=4.546 c=4.546 alpha=130.66 beta=130.66 gamma=72.35
Positions (direct):
Be (0.250, 0.750, 0.500)
Be (0.750, 0.250, 0.500)
Ir (0.000, 0.000, 0.000)
Br (0.500, 0.500, 0.000)



Result of the stability comparison: 1 is the most stable of them.



1 | Material: BeIrBr3
Method: DFT, PBE-GGA
State: optimized geometry

Calculated values
As for the space-group type: Pm-3m, No. 221. The size of the total moment comes out at 0.2 μB per cell. The calculated volume comes out at 26.1 Å³ per atom.

Unit cell a=5.074 b=5.074 c=5.074 alpha=90.00 beta=90.00 gamma=90.00
Positions (direct):
Be (0.000, 0.000, 0.000)
Ir (0.500, 0.500, 0.500)
Br (0.000, 0.500, 0.500)
Br (0.500, 0.000, 0.500)
Br (0.500, 0.500, 0.000)



2 | Material: BeIrBr3
Method: DFT, PBE-GGA
State: optimized geometry

Calculated values
As for the space-group type: Pm-3m, No. 221. The size of the total moment comes out at 2.4 μB per cell. The calculated volume comes out at 21.5 Å³ per atom.

Unit cell a=4.751 b=4.751 c=4.751 alpha=90.00 beta=90.00 gamma=90.00
Positions (direct):
Be (0.000, 0.000, 0.000)
Ir (0.500, 0.500, 0.500)
Br (0.000, 0.000, 0.500)
Br (0.000, 0.500, 0.000)
Br (0.500, 0.000, 0.000)



Result of the stability comparison: 1 is the most stable of them.